# 1
Below is a geometry-optimized BaTcCl structure, with properties calculated at the PBE level. Values from VASP.

Structure (Quantum ESPRESSO input):
```
&SYSTEM
  ibrav = 0, nat = 3, ntyp = 3
/
ATOMIC_SPECIES
Cl 35.45 Cl.upf
Ba 137.33 Ba.upf
Tc 98.00 Tc.upf
CELL_PARAMETERS angstrom
-6.357 -2.805 -0.930
-4.297 -5.390 0.490
-1.870 0.690 2.996
ATOMIC_POSITIONS angstrom
Cl -4.781 -2.255 1.857
Ba -10.575 -8.116 -0.409
Tc -7.820 -5.329 0.668
```

Calculated values
N(E_F)   2.59 states/eV per cell
Energy above the most stable polymorph in this dataset   123 meV per atom
Crystal system   orthorhombic
Energy   -4.356 eV per atom
Calculated volume   27.8 Å³ per atom
Formation energy from raw total energies   0.356 eV per atom

---

# 2
Below is a geometry-optimized BaTc2Cl structure, with properties calculated at the PBE level. Values from VASP.

Structure (Quantum ESPRESSO input):
```
&SYSTEM
  ibrav = 0, nat = 4, ntyp = 3
/
ATOMIC_SPECIES
Tc 98.00 Tc.upf
Ba 137.33 Ba.upf
Cl 35.45 Cl.upf
CELL_PARAMETERS angstrom
0.000 3.471 3.471
3.471 0.000 3.471
3.471 3.471 0.000
ATOMIC_POSITIONS angstrom
Tc 1.735 1.735 1.735
Tc 5.206 5.206 5.206
Ba 3.471 3.471 3.471
Cl 0.000 0.000 0.000
```

Calculated values
N(E_F)   5.20 states/eV per cell
Energy above the most stable polymorph in this dataset   1465 meV per atom
Crystal system   cubic
Energy   -4.623 eV per atom
Calculated volume   20.9 Å³ per atom
Formation energy from raw total energies   1.502 eV per atom